*w*
A plane-wave DFT calculation with GGA-PBE was carried out for a relaxed Zr4CdAg crystal.

```
6
Lattice="-0.808 3.049 0.125 -2.401 -0.715 1.920 7.890 1.661 10.488" Properties=species:S:1:pos:R:3 pbc="T T T"
Zr -0.228 1.457 2.852
Zr 5.186 1.092 6.894
Zr 2.704 0.569 3.594
Zr 4.910 2.538 9.681
Cd 0.000 0.000 0.000
Ag 2.341 1.998 6.266
```

*x*
A plane-wave DFT calculation with GGA-PBE was carried out for a relaxed Zr4CdAg crystal.

```
6
Lattice="0.000 4.074 4.074 4.074 0.000 4.074 4.074 4.074 0.000" Properties=species:S:1:pos:R:3 pbc="T T T"
Zr 3.054 5.094 5.094
Zr 5.094 5.094 3.054
Zr 5.094 3.054 5.094
Zr 3.054 3.054 3.054
Cd 0.000 0.000 0.000
Ag 6.111 6.111 6.111
```

Least stable structure: *x*

*w*
A plane-wave DFT calculation with GGA-PBE was carried out for a relaxed CeAg3 crystal.

```
8
Lattice="6.533 -0.002 0.000 -3.263 5.660 0.000 0.000 0.000 4.888" Properties=species:S:1:pos:R:3 pbc="T T T"
Ce 0.003 3.772 3.666
Ce 3.267 1.885 1.222
Ag 0.001 1.698 1.222
Ag 1.799 4.809 1.222
Ag -1.792 4.810 1.222
Ag 3.270 3.959 3.666
Ag 1.471 0.848 3.666
Ag 5.063 0.848 3.666
```

*x*
A plane-wave DFT calculation with GGA-PBE was carried out for a relaxed CeAg3 crystal.

```
8
Lattice="-0.712 -0.965 -5.165 -2.391 -4.379 1.147 -5.671 3.147 0.193" Properties=species:S:1:pos:R:3 pbc="T T T"
Ce -6.289 -1.252 -0.752
Ce -2.485 -0.944 -3.072
Ag -2.423 -4.071 -3.455
Ag -6.351 1.875 -0.369
Ag -5.348 0.592 -3.176
Ag -5.189 -2.536 -3.361
Ag -3.585 0.340 -0.463
Ag -3.426 -2.788 -0.648
```

Least stable structure: *w*